12
Lattice="4.7598 0.0000 0.0000 0.0000 3.2698 0.0000 -2.3451 0.0000 16.2054" Properties=species:S:1:pos:R:3 comment="PBE Li7Mg3Tl2, optimized geometry" formation_energy_ev_per_atom=-0.075 n_ef_per_ev_atom=0.386 space_group=P2/m pbc="T T T"
Li 0.0000 0.0000 0.0000
Li 0.0153 1.6349 2.8554
Li 0.0166 1.6349 8.7832
Li 0.0186 0.0000 13.8791
Li 2.3961 0.0000 2.3264
Li 2.3981 1.6349 7.4222
Li 2.3994 1.6349 13.3501
Mg 0.0199 0.0000 5.9840
Mg 2.3799 1.6349 0.0000
Mg 2.3948 0.0000 10.2215
Tl 0.0179 1.6349 11.5827
Tl 2.3967 1.6349 4.6228